No. 1
This record from the Alexandria database describes an optimized crystal structure of Mg2Ge2Pd5. The functional is PBE.

Unit cell a=13.450 b=7.341 c=6.122 alpha=90.00 beta=90.00 gamma=90.00
Space group Ima2 (No. 46)
Unique sites:
Mg: 0.130 0.028 0.000 x8
Ge: 0.000 0.000 0.367 x4
Ge: 0.250 0.527 0.124 x4
Pd: 0.034 0.196 0.684 x8
Pd: 0.151 0.699 0.839 x8
Pd: 0.250 0.207 0.310 x4

Values from the calculation:
E_form ... -454 meV/atom



No. 2
This record from the Alexandria database describes an optimized crystal structure of MgGe2Pd2. The functional is PBE.

Unit cell a=4.943 b=4.514 c=8.228 alpha=90.00 beta=106.99 gamma=90.00
Space group P2_1/m (No. 11)
Unique sites:
Mg: 0.001 0.250 0.249 x2
Ge: 0.337 0.750 0.482 x2
Ge: 0.389 0.750 0.109 x2
Pd: 0.145 0.250 0.951 x2
Pd: 0.196 0.250 0.608 x2

Values from the calculation:
E_form ... -442 meV/atom



No. 3
This record from the Alexandria database describes an optimized crystal structure of MgGePd2. The functional is PBE.

Unit cell a=4.326 b=4.326 c=3.332 alpha=90.00 beta=90.00 gamma=90.00
Space group P4/mmm (No. 123)
Unique sites:
Mg: 0.000 0.000 0.000 x1
Ge: 0.500 0.500 0.000 x1
Pd: 0.000 0.500 0.500 x2

Values from the calculation:
E_form ... -574 meV/atom



No. 4
This record from the Alexandria database describes an optimized crystal structure of Mg3GePd6. The functional is PBE.

Unit cell a=7.555 b=4.578 c=9.734 alpha=90.00 beta=110.70 gamma=90.00
Space group P2_1/m (No. 11)
Unique sites:
Mg: 0.030 0.250 0.382 x2
Mg: 0.132 0.750 0.210 x2
Mg: 0.281 0.250 0.987 x2
Ge: 0.448 0.250 0.597 x2
Pd: 0.039 0.750 0.917 x2
Pd: 0.163 0.250 0.680 x2
Pd: 0.259 0.750 0.504 x2
Pd: 0.348 0.750 0.823 x2
Pd: 0.356 0.250 0.312 x2
Pd: 0.431 0.750 0.131 x2

Values from the calculation:
E_form ... -603 meV/atom



No. 5
This record from the Alexandria database describes an optimized crystal structure of Mg3Ge2Pd4. The functional is PBE.

Unit cell a=12.823 b=9.760 c=4.820 alpha=90.00 beta=99.60 gamma=90.00
Space group C2/c (No. 15)
Unique sites:
Mg: 0.000 0.134 0.250 x4
Mg: 0.152 0.363 0.070 x8
Ge: 0.223 0.114 0.367 x8
Pd: 0.068 0.379 0.536 x8
Pd: 0.119 0.111 0.805 x8

Values from the calculation:
E_form ... -498 meV/atom



No. 6
This record from the Alexandria database describes an optimized crystal structure of MgGe2Pd. The functional is PBE.

Unit cell a=4.090 b=4.090 c=4.108 alpha=90.00 beta=90.00 gamma=90.00
Space group P4/mmm (No. 123)
Unique sites:
Mg: 0.000 0.000 0.000 x1
Ge: 0.000 0.500 0.500 x2
Pd: 0.500 0.500 0.000 x1

Values from the calculation:
E_form ... -216 meV/atom